No. 1
# NaTc3O (GGA-PBEsol, relaxed)
# ΔE_f (raw)	3.478	eV per atom
data_NaTc3O
_chemical_formula_sum 'Na1 Tc3 O1'
_symmetry_space_group_name_H-M 'P m -3 m'
_symmetry_Int_Tables_number 221
_symmetry_space_group_name_Hall '-P 4 2 3'
_cell_length_a 4.439
_cell_length_b 4.439
_cell_length_c 4.439
_cell_angle_alpha 90.00
_cell_angle_beta 90.00
_cell_angle_gamma 90.00
loop_
_atom_site_label
_atom_site_type_symbol
_atom_site_fract_x
_atom_site_fract_y
_atom_site_fract_z
Na1 Na 0.000 0.000 0.000
Tc1 Tc 0.000 0.000 0.500
O1 O 0.500 0.500 0.500


No. 2
# SbAsWI2 (GGA-PBEsol, relaxed)
# ΔE_f (raw)	1.632	eV per atom
data_SbAsWI2
_chemical_formula_sum 'Sb1 As1 W1 I2'
_symmetry_space_group_name_H-M 'P 4/m m m'
_symmetry_Int_Tables_number 123
_symmetry_space_group_name_Hall '-P 4 2'
_cell_length_a 5.349
_cell_length_b 5.349
_cell_length_c 5.524
_cell_angle_alpha 90.00
_cell_angle_beta 90.00
_cell_angle_gamma 90.00
loop_
_atom_site_label
_atom_site_type_symbol
_atom_site_fract_x
_atom_site_fract_y
_atom_site_fract_z
Sb1 Sb 0.000 0.000 0.000
As1 As 0.000 0.000 0.500
W1 W 0.500 0.500 0.000
I1 I 0.000 0.500 0.500


No. 3
# CuHgRh2 (GGA-PBEsol, relaxed)
# E	-5.103	eV per atom
data_CuHgRh2
_chemical_formula_sum 'Cu2 Hg2 Rh4'
_symmetry_space_group_name_H-M 'I -4 m 2'
_symmetry_Int_Tables_number 119
_symmetry_space_group_name_Hall 'I -4 -2'
_cell_length_a 3.915
_cell_length_b 3.915
_cell_length_c 7.598
_cell_angle_alpha 90.00
_cell_angle_beta 90.00
_cell_angle_gamma 90.00
loop_
_atom_site_label
_atom_site_type_symbol
_atom_site_fract_x
_atom_site_fract_y
_atom_site_fract_z
Cu1 Cu 0.000 0.000 0.000
Hg1 Hg 0.000 0.500 0.250
Rh1 Rh 0.000 0.000 0.500
Rh2 Rh 0.000 0.500 0.750


No. 4
# Hf2Hg2Mo (GGA-PBEsol, relaxed)
# E	-6.044	eV per atom
data_Hf2Hg2Mo
_chemical_formula_sum 'Hf4 Hg4 Mo2'
_symmetry_space_group_name_H-M 'I 4/m m m'
_symmetry_Int_Tables_number 139
_symmetry_space_group_name_Hall '-I 4 2'
_cell_length_a 3.886
_cell_length_b 3.886
_cell_length_c 13.547
_cell_angle_alpha 90.00
_cell_angle_beta 90.00
_cell_angle_gamma 90.00
loop_
_atom_site_label
_atom_site_type_symbol
_atom_site_fract_x
_atom_site_fract_y
_atom_site_fract_z
Hf1 Hf 0.000 0.500 0.250
Hg1 Hg 0.000 0.000 0.095
Mo1 Mo 0.000 0.000 0.500


No. 5
# Mg3MnNi3O8 (GGA-PBEsol, relaxed)
# ΔE_f (raw)	-1.656	eV per atom
data_Mg3MnNi3O8
_chemical_formula_sum 'Mg9 Mn3 Ni9 O24'
_symmetry_space_group_name_H-M 'R -3 m'
_symmetry_Int_Tables_number 166
_symmetry_space_group_name_Hall '-R 3 2"'
_cell_length_a 5.9454
_cell_length_b 5.9454
_cell_length_c 14.0024
_cell_angle_alpha 90.00
_cell_angle_beta 90.00
_cell_angle_gamma 120.00
loop_
_atom_site_label
_atom_site_type_symbol
_atom_site_fract_x
_atom_site_fract_y
_atom_site_fract_z
Mg1 Mg 0.0000 0.5000 0.0000
Mn1 Mn 0.0000 0.0000 0.0000
Ni1 Ni 0.0000 0.5000 0.5000
O1 O 0.0000 0.0000 0.2504
O2 O 0.0280 0.5140 0.7439


No. 6
# MgTeAs2Se (GGA-PBEsol, relaxed)
# ΔE_f (raw)	0.521	eV per atom
data_MgTeAs2Se
_chemical_formula_sum 'Mg1 Te1 As2 Se1'
_symmetry_space_group_name_H-M 'P 4/m m m'
_symmetry_Int_Tables_number 123
_symmetry_space_group_name_Hall '-P 4 2'
_cell_length_a 4.988
_cell_length_b 4.988
_cell_length_c 4.826
_cell_angle_alpha 90.00
_cell_angle_beta 90.00
_cell_angle_gamma 90.00
loop_
_atom_site_label
_atom_site_type_symbol
_atom_site_fract_x
_atom_site_fract_y
_atom_site_fract_z
Mg1 Mg 0.000 0.000 0.000
Te1 Te 0.500 0.500 0.500
As1 As 0.000 0.500 0.000
Se1 Se 0.000 0.000 0.500


No. 7
# TcAsW2 (GGA-PBEsol, relaxed)
# E	-10.608	eV per atom
data_TcAsW2
_chemical_formula_sum 'Tc2 As2 W4'
_symmetry_space_group_name_H-M 'C 1 2/m 1'
_symmetry_Int_Tables_number 12
_symmetry_space_group_name_Hall '-C 2y'
_cell_length_a 5.390
_cell_length_b 8.362
_cell_length_c 2.830
_cell_angle_alpha 90.00
_cell_angle_beta 108.15
_cell_angle_gamma 90.00
loop_
_atom_site_label
_atom_site_type_symbol
_atom_site_fract_x
_atom_site_fract_y
_atom_site_fract_z
Tc1 Tc 0.000 0.000 0.000
As1 As 0.000 0.500 0.000
W1 W 0.250 0.250 0.500


No. 8
# LaPt2Br (GGA-PBEsol, relaxed)
# ΔE_f (raw)	-0.584	eV per atom
# polymorph energy (0 for the lowest one)	0.013	eV/atom
data_LaPt2Br
_chemical_formula_sum 'La1 Pt2 Br1'
_symmetry_space_group_name_H-M 'P 1 m 1'
_symmetry_Int_Tables_number 6
_symmetry_space_group_name_Hall 'P -2y'
_cell_length_a 4.023
_cell_length_b 4.230
_cell_length_c 5.841
_cell_angle_alpha 90.00
_cell_angle_beta 105.82
_cell_angle_gamma 90.00
loop_
_atom_site_label
_atom_site_type_symbol
_atom_site_fract_x
_atom_site_fract_y
_atom_site_fract_z
La1 La 0.000 0.000 0.000
Pt1 Pt 0.558 0.500 0.116
Pt2 Pt 0.618 0.000 0.395
Br1 Br 0.495 0.500 0.668


No. 9
# AgBI3 (GGA-PBEsol, relaxed)
# ΔE_f (raw)	1.051	eV per atom
data_AgBI3
_chemical_formula_sum 'Ag1 B1 I3'
_symmetry_space_group_name_H-M 'P m -3 m'
_symmetry_Int_Tables_number 221
_symmetry_space_group_name_Hall '-P 4 2 3'
_cell_length_a 5.531
_cell_length_b 5.531
_cell_length_c 5.531
_cell_angle_alpha 90.00
_cell_angle_beta 90.00
_cell_angle_gamma 90.00
loop_
_atom_site_label
_atom_site_type_symbol
_atom_site_fract_x
_atom_site_fract_y
_atom_site_fract_z
Ag1 Ag 0.000 0.000 0.000
B1 B 0.500 0.500 0.500
I1 I 0.000 0.000 0.500


No. 10
# Tc3PSe (GGA-PBEsol, relaxed)
# ΔE_f (raw)	0.730	eV per atom
data_Tc3PSe
_chemical_formula_sum 'Tc3 P1 Se1'
_symmetry_space_group_name_H-M 'P m -3 m'
_symmetry_Int_Tables_number 221
_symmetry_space_group_name_Hall '-P 4 2 3'
_cell_length_a 4.355
_cell_length_b 4.355
_cell_length_c 4.355
_cell_angle_alpha 90.00
_cell_angle_beta 90.00
_cell_angle_gamma 90.00
loop_
_atom_site_label
_atom_site_type_symbol
_atom_site_fract_x
_atom_site_fract_y
_atom_site_fract_z
Tc1 Tc 0.000 0.000 0.500
P1 P 0.000 0.000 0.000
Se1 Se 0.500 0.500 0.500


No. 11
# BeIr2Se (GGA-PBEsol, relaxed)
# ΔE_f (raw)	0.352	eV per atom
# polymorph energy (0 for the lowest one)	0.163	eV/atom
data_BeIr2Se
_chemical_formula_sum 'Be2 Ir4 Se2'
_symmetry_space_group_name_H-M 'I -4 m 2'
_symmetry_Int_Tables_number 119
_symmetry_space_group_name_Hall 'I -4 -2'
_cell_length_a 3.596
_cell_length_b 3.596
_cell_length_c 8.422
_cell_angle_alpha 90.00
_cell_angle_beta 90.00
_cell_angle_gamma 90.00
loop_
_atom_site_label
_atom_site_type_symbol
_atom_site_fract_x
_atom_site_fract_y
_atom_site_fract_z
Be1 Be 0.000 0.000 0.000
Ir1 Ir 0.000 0.000 0.500
Ir2 Ir 0.000 0.500 0.250
Se1 Se 0.000 0.500 0.750


No. 12
# Mg2InPtI (GGA-PBEsol, relaxed)
# ΔE_f (raw)	1.056	eV per atom
data_Mg2InPtI
_chemical_formula_sum 'Mg2 In1 Pt1 I1'
_symmetry_space_group_name_H-M 'P 4/m m m'
_symmetry_Int_Tables_number 123
_symmetry_space_group_name_Hall '-P 4 2'
_cell_length_a 5.268
_cell_length_b 5.268
_cell_length_c 5.854
_cell_angle_alpha 90.00
_cell_angle_beta 90.00
_cell_angle_gamma 90.00
loop_
_atom_site_label
_atom_site_type_symbol
_atom_site_fract_x
_atom_site_fract_y
_atom_site_fract_z
Mg1 Mg 0.000 0.500 0.000
In1 In 0.000 0.000 0.500
Pt1 Pt 0.500 0.500 0.500
I1 I 0.000 0.000 0.000


No. 13
# Fe2AsPb (GGA-PBEsol, relaxed)
# polymorph energy (0 for the lowest one)	0.317	eV/atom
data_Fe2AsPb
_chemical_formula_sum 'Fe2 As1 Pb1'
_symmetry_space_group_name_H-M 'P 4/m m m'
_symmetry_Int_Tables_number 123
_symmetry_space_group_name_Hall '-P 4 2'
_cell_length_a 4.393
_cell_length_b 4.393
_cell_length_c 3.178
_cell_angle_alpha 90.00
_cell_angle_beta 90.00
_cell_angle_gamma 90.00
loop_
_atom_site_label
_atom_site_type_symbol
_atom_site_fract_x
_atom_site_fract_y
_atom_site_fract_z
Fe1 Fe 0.000 0.500 0.000
As1 As 0.000 0.000 0.500
Pb1 Pb 0.500 0.500 0.500


No. 14
# YCu2Ni (GGA-PBEsol, relaxed)
# polymorph energy (0 for the lowest one)	0.132	eV/atom
data_YCu2Ni
_chemical_formula_sum 'Y1 Cu2 Ni1'
_symmetry_space_group_name_H-M 'P 4 m m'
_symmetry_Int_Tables_number 99
_symmetry_space_group_name_Hall 'P 4 -2'
_cell_length_a 3.201
_cell_length_b 3.201
_cell_length_c 5.835
_cell_angle_alpha 90.00
_cell_angle_beta 90.00
_cell_angle_gamma 90.00
loop_
_atom_site_label
_atom_site_type_symbol
_atom_site_fract_x
_atom_site_fract_y
_atom_site_fract_z
Y1 Y 0.000 0.000 0.000
Cu1 Cu 0.000 0.000 0.511
Cu2 Cu 0.500 0.500 0.316
Ni1 Ni 0.500 0.500 0.721


No. 15
# CdIn2Ni (GGA-PBEsol, relaxed)
# E	-3.099	eV per atom
data_CdIn2Ni
_chemical_formula_sum 'Cd2 In4 Ni2'
_symmetry_space_group_name_H-M 'C 1 2/m 1'
_symmetry_Int_Tables_number 12
_symmetry_space_group_name_Hall '-C 2y'
_cell_length_a 5.909
_cell_length_b 9.419
_cell_length_c 3.246
_cell_angle_alpha 90.00
_cell_angle_beta 119.87
_cell_angle_gamma 90.00
loop_
_atom_site_label
_atom_site_type_symbol
_atom_site_fract_x
_atom_site_fract_y
_atom_site_fract_z
Cd1 Cd 0.000 0.000 0.000
In1 In 0.250 0.250 0.000
Ni1 Ni 0.000 0.500 0.000


No. 16
# Sn2H2SO5F2 (GGA-PBEsol, relaxed)
# E	-5.679	eV per atom
data_Sn2H2SO5F2
_chemical_formula_sum 'Sn8 H8 S4 O20 F8'
_symmetry_space_group_name_H-M 'P 1 21/c 1'
_symmetry_Int_Tables_number 14
_symmetry_space_group_name_Hall '-P 2ybc'
_cell_length_a 6.996
_cell_length_b 12.760
_cell_length_c 7.212
_cell_angle_alpha 90.00
_cell_angle_beta 90.43
_cell_angle_gamma 90.00
loop_
_atom_site_label
_atom_site_type_symbol
_atom_site_fract_x
_atom_site_fract_y
_atom_site_fract_z
Sn1 Sn 0.191 0.187 0.150
Sn2 Sn 0.262 0.016 0.666
H1 H 0.426 0.679 0.457
H2 H 0.430 0.736 0.256
S1 S 0.258 0.581 0.730
O1 O 0.080 0.586 0.838
O2 O 0.251 0.003 0.087
O3 O 0.297 0.683 0.637
O4 O 0.417 0.559 0.867
O5 O 0.497 0.681 0.335
F1 F 0.244 0.140 0.465
F2 F 0.277 0.162 0.836


No. 17
# Mg3Al2N4 (GGA-PBEsol, relaxed)
# ΔE_f (raw)	-1.054	eV per atom
data_Mg3Al2N4
_chemical_formula_sum 'Mg12 Al8 N16'
_symmetry_space_group_name_H-M 'C 1 2/c 1'
_symmetry_Int_Tables_number 15
_symmetry_space_group_name_Hall '-C 2yc'
_cell_length_a 9.860
_cell_length_b 7.276
_cell_length_c 5.430
_cell_angle_alpha 90.00
_cell_angle_beta 90.21
_cell_angle_gamma 90.00
loop_
_atom_site_label
_atom_site_type_symbol
_atom_site_fract_x
_atom_site_fract_y
_atom_site_fract_z
Mg1 Mg 0.000 0.099 0.250
Mg2 Mg 0.112 0.375 0.027
Al1 Al 0.190 0.124 0.608
N1 N 0.119 0.336 0.437
N2 N 0.142 0.091 0.936


No. 18
# CaAlIr (GGA-PBEsol, relaxed)
# E	-5.597	eV per atom
data_CaAlIr
_chemical_formula_sum 'Ca4 Al4 Ir4'
_symmetry_space_group_name_H-M 'F -4 3 m'
_symmetry_Int_Tables_number 216
_symmetry_space_group_name_Hall 'F -4 2 3'
_cell_length_a 6.296
_cell_length_b 6.296
_cell_length_c 6.296
_cell_angle_alpha 90.00
_cell_angle_beta 90.00
_cell_angle_gamma 90.00
loop_
_atom_site_label
_atom_site_type_symbol
_atom_site_fract_x
_atom_site_fract_y
_atom_site_fract_z
Ca1 Ca 0.000 0.000 0.000
Al1 Al 0.000 0.000 0.500
Ir1 Ir 0.250 0.250 0.750


No. 19
# Li4Y3CrO8 (GGA-PBEsol, relaxed)
# ΔE_f (raw)	-2.685	eV per atom
data_Li4Y3CrO8
_chemical_formula_sum 'Li8 Y6 Cr2 O16'
_symmetry_space_group_name_H-M 'C 2 2 2'
_symmetry_Int_Tables_number 21
_symmetry_space_group_name_Hall 'C 2 2'
_cell_length_a 6.092
_cell_length_b 9.657
_cell_length_c 6.108
_cell_angle_alpha 90.00
_cell_angle_beta 90.00
_cell_angle_gamma 90.00
loop_
_atom_site_label
_atom_site_type_symbol
_atom_site_fract_x
_atom_site_fract_y
_atom_site_fract_z
Li1 Li 0.000 0.000 0.000
Li2 Li 0.000 0.500 0.500
Li3 Li 0.250 0.250 0.246
Y1 Y 0.000 0.500 0.000
Y2 Y 0.250 0.250 0.740
Cr1 Cr 0.000 0.000 0.500
O1 O 0.000 0.209 0.500
O2 O 0.000 0.271 0.000
O3 O 0.242 0.010 0.735


No. 20
# Ba3InB9O18 (GGA-PBEsol, relaxed)
# ΔE_f (raw)	-2.560	eV per atom
data_Ba3InB9O18
_chemical_formula_sum 'Ba6 In2 B18 O36'
_symmetry_space_group_name_H-M 'P 63/m'
_symmetry_Int_Tables_number 176
_symmetry_space_group_name_Hall '-P 6c'
_cell_length_a 7.1653
_cell_length_b 7.1653
_cell_length_c 16.3809
_cell_angle_alpha 90.00
_cell_angle_beta 90.00
_cell_angle_gamma 120.00
loop_
_atom_site_label
_atom_site_type_symbol
_atom_site_fract_x
_atom_site_fract_y
_atom_site_fract_z
Ba1 Ba 0.0000 0.0000 0.2500
Ba2 Ba 0.3333 0.6667 0.1269
In1 In 0.0000 0.0000 0.0000
B1 B 0.1144 0.4941 0.7500
B2 B 0.1662 0.7209 0.5797
O1 O 0.0034 0.7611 0.5803
O2 O 0.0859 0.6701 0.2500
O3 O 0.1199 0.5048 0.5792
O4 O 0.1661 0.7107 0.7500